No. 1
VASP calculation (PBE-GGA) on TbNiSb3 after structural relaxation.

Cell: 12.431 6.173 6.059 Å, 90.00 90.00 90.00°
Atoms (fractional coordinates):
Tb 0.195 0.001 0.250
Tb 0.195 0.499 0.750
Tb 0.805 0.501 0.250
Tb 0.805 0.999 0.750
Ni 0.398 0.250 0.000
Ni 0.398 0.250 0.500
Ni 0.602 0.750 0.000
Ni 0.602 0.750 0.500
Sb 0.002 0.250 0.000
Sb 0.002 0.250 0.500
Sb 0.274 0.504 0.250
Sb 0.274 0.996 0.750
Sb 0.448 0.600 0.750
Sb 0.448 0.900 0.250
Sb 0.552 0.100 0.750
Sb 0.552 0.400 0.250
Sb 0.726 0.004 0.250
Sb 0.726 0.496 0.750
Sb 0.998 0.750 0.000
Sb 0.998 0.750 0.500

Computed properties:
The uncorrected formation energy is -0.54 eV/atom. The space group is Pbcm (57). As for the energy: -5.0926 eV/atom.

***

No. 2
VASP calculation (PBE-GGA) on TbNiSb after structural relaxation.

Cell: 4.303 4.303 4.049 Å, 90.00 90.00 120.00°
Atoms (fractional coordinates):
Tb 0.000 0.000 0.000
Ni 0.333 0.667 0.502
Sb 0.667 0.333 0.500

Computed properties:
The uncorrected formation energy is -0.80 eV/atom. The space group is P3m1 (156). As for the energy: -5.6436 eV/atom.

***

No. 3
VASP calculation (PBE-GGA) on TbNiSb after structural relaxation.

Cell: 4.508 4.508 4.508 Å, 60.00 60.00 60.00°
Atoms (fractional coordinates):
Tb 0.000 0.000 0.000
Ni 0.250 0.250 0.250
Sb 0.500 0.500 0.500

Computed properties:
The uncorrected formation energy is -0.91 eV/atom. The space group is F-43m (216). As for the energy: -5.7499 eV/atom.

***

No. 4
VASP calculation (PBE-GGA) on Tb8Ni2Sb after structural relaxation.

Cell: 7.878 7.878 5.429 Å, 97.41 97.41 114.24°
Atoms (fractional coordinates):
Tb 0.077 0.333 0.583
Tb 0.247 0.753 0.000
Tb 0.333 0.077 0.583
Tb 0.394 0.394 0.199
Tb 0.606 0.606 0.801
Tb 0.667 0.923 0.417
Tb 0.753 0.247 0.000
Tb 0.923 0.667 0.417
Ni 0.303 0.697 0.500
Ni 0.697 0.303 0.500
Sb 0.000 0.000 0.000

Computed properties:
The uncorrected formation energy is -0.25 eV/atom. The space group is C2/m (12). As for the energy: -5.0472 eV/atom.

***

No. 5
VASP calculation (PBE-GGA) on Tb2NiSb4 after structural relaxation.

Cell: 4.350 4.350 9.336 Å, 90.00 90.00 90.00°
Atoms (fractional coordinates):
Tb 0.000 0.500 0.235
Tb 0.500 0.000 0.765
Ni 0.000 0.000 0.000
Sb 0.000 0.000 0.500
Sb 0.000 0.500 0.869
Sb 0.500 0.000 0.131
Sb 0.500 0.500 0.500

Computed properties:
The uncorrected formation energy is -0.75 eV/atom. The space group is P-4m2 (115). As for the energy: -5.2497 eV/atom.

***

No. 6
VASP calculation (PBE-GGA) on Tb4Ni3Sb8 after structural relaxation.

Cell: 4.364 4.364 18.724 Å, 90.00 90.00 90.00°
Atoms (fractional coordinates):
Tb 0.000 0.500 0.116
Tb 0.000 0.500 0.621
Tb 0.500 0.000 0.379
Tb 0.500 0.000 0.884
Ni 0.000 0.000 0.000
Ni 0.000 0.000 0.500
Ni 0.500 0.500 0.500
Sb 0.000 0.000 0.248
Sb 0.000 0.000 0.752
Sb 0.000 0.500 0.429
Sb 0.000 0.500 0.934
Sb 0.500 0.000 0.066
Sb 0.500 0.000 0.571
Sb 0.500 0.500 0.248
Sb 0.500 0.500 0.752

Computed properties:
The uncorrected formation energy is -0.72 eV/atom. The space group is P-4m2 (115). As for the energy: -5.3096 eV/atom.

***

No. 7
VASP calculation (PBE-GGA) on Tb3NiSb after structural relaxation.

Cell: 7.935 7.935 8.461 Å, 92.22 92.22 29.52°
Atoms (fractional coordinates):
Tb 0.045 0.045 0.201
Tb 0.251 0.251 0.788
Tb 0.392 0.392 0.452
Tb 0.608 0.608 0.548
Tb 0.749 0.749 0.212
Tb 0.955 0.955 0.799
Ni 0.210 0.210 0.437
Ni 0.790 0.790 0.563
Sb 0.389 0.389 0.072
Sb 0.611 0.611 0.928

Computed properties:
The uncorrected formation energy is -0.60 eV/atom. The space group is C2/m (12). As for the energy: -5.3576 eV/atom.

***

No. 8
VASP calculation (PBE-GGA) on Tc2NiSb after structural relaxation.

Cell: 9.754 9.754 9.754 Å, 157.65 157.65 31.81°
Atoms (fractional coordinates):
Tc 0.068 0.625 0.943
Tc 0.375 0.318 0.443
Tc 0.682 0.125 0.057
Tc 0.875 0.932 0.557
Ni 0.000 0.000 0.000
Ni 0.750 0.250 0.500
Sb 0.250 0.750 0.500
Sb 0.500 0.500 0.000

Computed properties:
The uncorrected formation energy is 0.38 eV/atom. The space group is I-42d (122). As for the energy: -7.2833 eV/atom.

***

No. 9
VASP calculation (PBE-GGA) on TcNiSb2 after structural relaxation.

Cell: 3.256 3.256 7.532 Å, 90.00 90.00 90.00°
Atoms (fractional coordinates):
Tc 0.000 0.000 0.000
Ni 0.500 0.500 0.192
Sb 0.000 0.000 0.371
Sb 0.500 0.500 0.800

Computed properties:
The uncorrected formation energy is 0.10 eV/atom. The space group is P4mm (99). As for the energy: -6.0024 eV/atom.

***

No. 10
VASP calculation (PBE-GGA) on Tc2NiSb after structural relaxation.

Cell: 4.414 4.414 4.414 Å, 60.00 60.00 60.00°
Atoms (fractional coordinates):
Tc 0.000 0.000 0.000
Tc 0.250 0.250 0.250
Ni 0.500 0.500 0.500
Sb 0.750 0.750 0.750

Computed properties:
The uncorrected formation energy is 0.26 eV/atom. The space group is F-43m (216). As for the energy: -7.3981 eV/atom.

***

No. 11
VASP calculation (PBE-GGA) on TcNi2Sb after structural relaxation.

Cell: 4.987 4.987 4.987 Å, 142.93 128.85 64.84°
Atoms (fractional coordinates):
Tc 0.000 0.000 0.000
Ni 0.258 0.758 0.500
Ni 0.742 0.242 0.500
Sb 0.500 0.500 0.000

Computed properties:
The uncorrected formation energy is 0.21 eV/atom. The space group is Immm (71). As for the energy: -6.3018 eV/atom.

***

No. 12
VASP calculation (PBE-GGA) on TcNi2Sb after structural relaxation.

Cell: 4.582 4.582 2.920 Å, 90.00 90.00 109.51°
Atoms (fractional coordinates):
Tc 0.000 0.000 0.000
Ni 0.000 0.500 0.500
Ni 0.500 0.000 0.500
Sb 0.500 0.500 0.000

Computed properties:
The uncorrected formation energy is 0.20 eV/atom. The space group is Cmmm (65). As for the energy: -6.3166 eV/atom.

***

No. 13
VASP calculation (PBE-GGA) on Tc2NiSb after structural relaxation.

Cell: 3.156 3.156 6.069 Å, 90.00 90.00 90.00°
Atoms (fractional coordinates):
Tc 0.000 0.000 0.225
Tc 0.000 0.000 0.775
Ni 0.500 0.500 0.000
Sb 0.500 0.500 0.500

Computed properties:
The uncorrected formation energy is 0.28 eV/atom. The space group is P4/mmm (123). As for the energy: -7.3775 eV/atom.

***

No. 14
VASP calculation (PBE-GGA) on TcNi2Sb after structural relaxation.

Cell: 4.320 4.320 4.320 Å, 60.00 60.00 60.00°
Atoms (fractional coordinates):
Tc 0.000 0.000 0.000
Ni 0.500 0.500 0.500
Ni 0.750 0.750 0.750
Sb 0.250 0.250 0.250

Computed properties:
The uncorrected formation energy is 0.10 eV/atom. The space group is F-43m (216). As for the energy: -6.4177 eV/atom.

***

No. 15
VASP calculation (PBE-GGA) on TcNi2Sb after structural relaxation.

Cell: 4.597 4.597 4.597 Å, 129.40 129.40 74.36°
Atoms (fractional coordinates):
Tc 0.000 0.000 0.000
Ni 0.250 0.750 0.500
Ni 0.750 0.250 0.500
Sb 0.500 0.500 0.000

Computed properties:
The uncorrected formation energy is 0.16 eV/atom. The space group is I4/mmm (139). As for the energy: -6.3549 eV/atom.

***

No. 16
VASP calculation (PBE-GGA) on TcNi2Sb after structural relaxation.

Cell: 4.618 4.618 4.508 Å, 100.86 100.86 38.15°
Atoms (fractional coordinates):
Tc 0.000 0.000 0.000
Ni 0.255 0.255 0.774
Ni 0.745 0.745 0.226
Sb 0.500 0.500 0.500

Computed properties:
The uncorrected formation energy is 0.18 eV/atom. The space group is C2/m (12). As for the energy: -6.3301 eV/atom.

***

No. 17
VASP calculation (PBE-GGA) on TcNiSb6 after structural relaxation.

Cell: 8.053 8.053 9.304 Å, 124.69 124.69 71.15°
Atoms (fractional coordinates):
Tc 0.000 0.500 0.000
Tc 0.500 0.000 0.000
Ni 0.000 0.500 0.500
Ni 0.500 0.000 0.500
Sb 0.155 0.841 0.661
Sb 0.159 0.845 0.339
Sb 0.179 0.508 0.840
Sb 0.336 0.336 0.180
Sb 0.336 0.336 0.498
Sb 0.492 0.821 0.160
Sb 0.508 0.179 0.840
Sb 0.664 0.664 0.502
Sb 0.664 0.664 0.820
Sb 0.821 0.492 0.160
Sb 0.841 0.155 0.661
Sb 0.845 0.159 0.339

Computed properties:
The uncorrected formation energy is -0.07 eV/atom. The space group is C2/m (12). As for the energy: -5.1786 eV/atom.

***

No. 18
VASP calculation (PBE-GGA) on Tc2NiSb after structural relaxation.

Cell: 5.095 5.095 2.974 Å, 101.68 101.68 118.40°
Atoms (fractional coordinates):
Tc 0.000 0.500 0.000
Tc 0.500 0.000 0.000
Ni 0.000 0.000 0.500
Sb 0.500 0.500 0.500

Computed properties:
The uncorrected formation energy is 0.41 eV/atom. The space group is C2/m (12). As for the energy: -7.2520 eV/atom.

***

No. 19
VASP calculation (PBE-GGA) on Tc2NiSb after structural relaxation.

Cell: 4.600 2.978 4.631 Å, 90.00 106.17 90.00°
Atoms (fractional coordinates):
Tc 0.000 0.000 0.000
Tc 0.000 0.500 0.500
Ni 0.500 0.000 0.500
Sb 0.500 0.500 0.000

Computed properties:
The uncorrected formation energy is 0.26 eV/atom. The space group is P2/m (10). As for the energy: -7.3945 eV/atom.

***

No. 20
VASP calculation (PBE-GGA) on TcNi2Sb after structural relaxation.

Cell: 7.987 7.987 7.987 Å, 21.60 21.60 21.60°
Atoms (fractional coordinates):
Tc 0.000 0.000 0.000
Ni 0.255 0.255 0.255
Ni 0.510 0.510 0.510
Sb 0.761 0.761 0.761

Computed properties:
The uncorrected formation energy is 0.44 eV/atom. The space group is R3m (160). As for the energy: -6.0773 eV/atom.

***

No. 21
VASP calculation (PBE-GGA) on TcNiSb after structural relaxation.

Cell: 4.246 4.246 2.986 Å, 90.00 90.00 120.00°
Atoms (fractional coordinates):
Tc 0.000 0.000 0.000
Ni 0.667 0.333 0.501
Sb 0.333 0.667 0.499

Computed properties:
The uncorrected formation energy is 0.24 eV/atom. The space group is P3m1 (156). As for the energy: -6.5200 eV/atom.

***

No. 22
VASP calculation (PBE-GGA) on TcNiSb after structural relaxation.

Cell: 3.817 3.817 8.588 Å, 90.00 90.00 120.00°
Atoms (fractional coordinates):
Tc 0.000 0.000 0.145
Tc 0.000 0.000 0.855
Ni 0.000 0.000 0.500
Ni 0.667 0.333 0.000
Sb 0.667 0.333 0.320
Sb 0.667 0.333 0.680

Computed properties:
The uncorrected formation energy is 0.26 eV/atom. The space group is P-6m2 (187). As for the energy: -6.5015 eV/atom.

***

No. 23
VASP calculation (PBE-GGA) on TcNiSb2 after structural relaxation.

Cell: 3.328 3.328 6.292 Å, 90.00 90.00 90.00°
Atoms (fractional coordinates):
Tc 0.000 0.000 0.000
Ni 0.000 0.000 0.500
Sb 0.500 0.500 0.254
Sb 0.500 0.500 0.746

Computed properties:
The uncorrected formation energy is 0.15 eV/atom. The space group is P4/mmm (123). As for the energy: -5.9516 eV/atom.

***

No. 24
VASP calculation (PBE-GGA) on TcNiSb3 after structural relaxation.

Cell: 4.915 4.915 4.915 Å, 90.00 90.00 90.00°
Atoms (fractional coordinates):
Tc 0.000 0.000 0.000
Ni 0.500 0.500 0.500
Sb 0.000 0.500 0.500
Sb 0.500 0.000 0.500
Sb 0.500 0.500 0.000

Computed properties:
The uncorrected formation energy is 0.85 eV/atom. The space group is Pm-3m (221). As for the energy: -4.8529 eV/atom.

***

No. 25
VASP calculation (PBE-GGA) on TcNiSb after structural relaxation.

Cell: 4.243 4.243 4.243 Å, 60.00 60.00 60.00°
Atoms (fractional coordinates):
Tc 0.000 0.000 0.000
Ni 0.500 0.500 0.500
Sb 0.250 0.250 0.250

Computed properties:
The uncorrected formation energy is 0.34 eV/atom. The space group is F-43m (216). As for the energy: -6.4139 eV/atom.

***

No. 26
VASP calculation (PBE-GGA) on TcNi2Sb after structural relaxation.

Cell: 4.596 4.596 4.596 Å, 129.23 129.23 74.63°
Atoms (fractional coordinates):
Tc 0.000 0.000 0.000
Ni 0.500 0.500 0.000
Ni 0.750 0.250 0.500
Sb 0.250 0.750 0.500

Computed properties:
The uncorrected formation energy is 0.09 eV/atom. The space group is I-4m2 (119). As for the energy: -6.4276 eV/atom.

***

No. 27
VASP calculation (PBE-GGA) on TcNi2Sb after structural relaxation.

Cell: 4.327 4.327 4.327 Å, 60.00 60.00 60.00°
Atoms (fractional coordinates):
Tc 0.000 0.000 0.000
Ni 0.250 0.250 0.250
Ni 0.750 0.750 0.750
Sb 0.500 0.500 0.500

Computed properties:
The uncorrected formation energy is 0.22 eV/atom. The space group is Fm-3m (225). As for the energy: -6.2920 eV/atom.